The following is a DFT calculation (PBE) of a geometry-optimized Ho3ZrFe8 structure.

```
Ho3ZrFe8
1.0
4.863 0.000 1.468
2.210 4.332 1.468
-0.003 -0.002 8.799
Fe Ho Zr
8 3 1
direct
0.437 0.437 0.192 Fe
0.687 0.687 0.938 Fe
0.437 0.935 0.192 Fe
0.938 0.938 0.683 Fe
0.935 0.437 0.192 Fe
0.938 0.441 0.683 Fe
0.441 0.938 0.683 Fe
0.188 0.188 0.437 Fe
0.000 0.000 0.001 Ho
0.375 0.375 0.875 Ho
0.500 0.500 0.500 Ho
0.875 0.875 0.375 Zr
```

- Formation enthalpy at 0 K: -0.15 eV per atom



The following is a DFT calculation (PBE) of a geometry-optimized Pm6Ho3Sc2 structure.

```
Pm6Ho3Sc2
1.0
-4.308 0.653 -1.894
0.021 -4.477 -1.591
-4.672 -3.025 15.548
Pm Sc Ho
6 2 3
direct
0.302 0.302 0.604 Pm
0.615 0.115 0.230 Pm
0.385 0.885 0.770 Pm
0.115 0.615 0.230 Pm
0.698 0.698 0.396 Pm
0.885 0.385 0.770 Pm
0.457 0.457 0.914 Sc
0.543 0.543 0.086 Sc
0.000 0.000 0.000 Ho
0.804 0.804 0.608 Ho
0.196 0.196 0.392 Ho
```

- Relative energy among the computed polymorphs: 216 meV/atom
- Formation enthalpy at 0 K: 0.31 eV per atom



The following is a DFT calculation (PBE) of a geometry-optimized YNb structure.

```
YNb
1.0
-4.927 -1.544 -0.870
3.004 -2.622 3.393
-1.767 3.313 4.124
Y Nb
2 2
direct
0.333 0.667 0.250 Y
0.667 0.333 0.750 Y
0.333 0.667 0.750 Nb
0.667 0.333 0.250 Nb
```

- Relative energy among the computed polymorphs: 1804 meV/atom
- Formation enthalpy at 0 K: 1.92 eV per atom



The following is a DFT calculation (PBE) of a geometry-optimized NaLa2PmSe4 structure.

```
NaLa2PmSe4
1.0
-2.792 -1.138 3.030
4.892 -4.972 2.640
1.010 6.446 3.350
La Se Na Pm
2 4 1 1
direct
0.000 0.500 0.500 La
0.500 0.000 0.500 La
0.000 0.249 0.754 Se
0.500 0.248 0.242 Se
0.000 0.751 0.246 Se
0.500 0.752 0.758 Se
0.500 0.500 0.000 Na
0.000 0.000 0.000 Pm
```

- E_form (uncorrected): -1.835 eV/atom



The following is a DFT calculation (PBE) of a geometry-optimized MgSc2PtO structure.

```
MgSc2PtO
1.0
4.378 0.000 0.000
0.000 4.378 0.000
0.000 0.000 4.093
Pt Sc O Mg
1 2 1 1
direct
0.500 0.500 0.500 Pt
0.500 0.000 0.000 Sc
0.000 0.500 0.000 Sc
0.000 0.000 0.000 O
0.000 0.000 0.500 Mg
```

- E_form (uncorrected): -1.626 eV/atom



The following is a DFT calculation (PBE) of a geometry-optimized ScTeMo structure.

```
ScTeMo
1.0
-0.126 1.536 -4.298
-2.531 -2.163 -3.124
-3.797 1.956 -1.615
Te Mo Sc
1 1 1
direct
0.750 0.750 0.750 Te
0.000 0.000 0.000 Mo
0.500 0.500 0.500 Sc
```

- Relative energy among the computed polymorphs: 618 meV/atom
- E_form (uncorrected): 0.183 eV/atom



The following is a DFT calculation (PBE) of a geometry-optimized BeRh2Se structure.

```
BeRh2Se
1.0
-0.570 -1.102 3.988
3.619 -2.087 -0.060
1.485 2.549 0.917
Se Rh Be
1 2 1
direct
0.500 0.000 0.500 Se
0.500 0.500 0.000 Rh
0.000 0.000 0.000 Rh
0.000 0.500 0.500 Be
```

- Relative energy among the computed polymorphs: 74 meV/atom
- E_form (uncorrected): -0.130 eV/atom



The following is a DFT calculation (PBE) of a geometry-optimized IrI2BrN structure.

```
IrI2BrN
1.0
6.017 0.000 0.000
0.000 6.017 0.000
0.000 0.000 3.639
Ir I Br N
1 2 1 1
direct
0.500 0.500 0.500 Ir
0.000 0.500 0.000 I
0.500 0.000 0.000 I
0.000 0.000 0.000 Br
0.000 0.000 0.500 N
```

- Relative energy among the computed polymorphs: 1556 meV/atom
- E_form (uncorrected): 2.046 eV/atom



The following is a DFT calculation (PBE) of a geometry-optimized BePt3 structure.

```
BePt3
1.0
5.043 0.002 0.005
-2.272 4.502 0.005
-2.272 -3.693 2.575
Pt Be
3 1
direct
0.000 0.500 0.500 Pt
0.500 0.000 0.500 Pt
0.500 0.500 0.000 Pt
0.000 0.000 0.000 Be
```

- Formation enthalpy at 0 K: -0.08 eV per atom



The following is a DFT calculation (PBE) of a geometry-optimized Pm2Sn4Pd3Au structure.

```
Pm2Sn4Pd3Au
1.0
4.567 0.000 0.000
0.000 4.567 0.000
0.000 0.000 10.952
Pm Pd Sn Au
2 3 4 1
direct
0.500 0.000 0.259 Pm
0.000 0.500 0.741 Pm
0.000 0.000 0.500 Pd
0.500 0.000 0.871 Pd
0.000 0.500 0.129 Pd
0.000 0.500 0.364 Sn
0.500 0.500 0.000 Sn
0.000 0.000 0.000 Sn
0.500 0.000 0.636 Sn
0.500 0.500 0.500 Au
```

- Formation enthalpy at 0 K: -0.71 eV per atom



The following is a DFT calculation (PBE) of a geometry-optimized EuTmRh4 structure.

```
EuTmRh4
1.0
-3.760 3.371 -1.779
-5.059 -1.672 -0.534
-3.780 1.798 3.339
Eu Tm Rh
1 1 4
direct
0.000 0.000 0.000 Eu
0.250 0.250 0.250 Tm
0.625 0.126 0.625 Rh
0.625 0.625 0.625 Rh
0.126 0.625 0.625 Rh
0.625 0.625 0.126 Rh
```

- Formation enthalpy at 0 K: -0.60 eV per atom



The following is a DFT calculation (PBE) of a geometry-optimized Li2TbSc2Pb2 structure.

```
Li2TbSc2Pb2
1.0
4.750 0.000 0.000
2.375 4.113 0.000
2.375 1.371 8.416
Sc Li Pb Tb
2 2 2 1
direct
0.866 0.866 0.403 Sc
0.134 0.134 0.597 Sc
0.574 0.574 0.279 Li
0.426 0.426 0.721 Li
0.260 0.260 0.220 Pb
0.740 0.740 0.780 Pb
0.000 0.000 0.000 Tb
```

- Formation enthalpy at 0 K: -0.31 eV per atom



The following is a DFT calculation (PBE) of a geometry-optimized InCuSn structure.

```
InCuSn
1.0
-5.264 -2.847 5.517
-2.665 -1.300 -3.214
3.399 -6.585 -0.155
In Cu Sn
4 4 4
direct
0.508 0.750 0.289 In
0.008 0.750 0.211 In
0.492 0.250 0.711 In
0.992 0.250 0.789 In
0.088 0.750 0.573 Cu
0.412 0.250 0.073 Cu
0.588 0.750 0.927 Cu
0.912 0.250 0.427 Cu
0.254 0.250 0.408 Sn
0.746 0.750 0.592 Sn
0.754 0.250 0.092 Sn
0.246 0.750 0.908 Sn
```

- Formation enthalpy at 0 K: 0.05 eV per atom



The following is a DFT calculation (PBE) of a geometry-optimized SrScMn structure.

```
SrScMn
1.0
5.065 0.000 0.000
2.533 4.387 0.000
2.533 1.462 4.136
Sc Sr Mn
1 1 1
direct
0.000 0.000 0.000 Sc
0.500 0.500 0.500 Sr
0.750 0.750 0.750 Mn
```

- Relative energy among the computed polymorphs: 387 meV/atom
- Formation enthalpy at 0 K: 0.74 eV per atom



The following is a DFT calculation (PBE) of a geometry-optimized Li2SmY2Ge2 structure.

```
Li2SmY2Ge2
1.0
-0.044 3.771 -2.406
-1.230 -0.105 -4.300
-9.092 2.680 0.208
Y Ge Li Sm
2 2 2 1
direct
0.127 0.127 0.620 Y
0.873 0.873 0.380 Y
0.263 0.263 0.211 Ge
0.737 0.737 0.789 Ge
0.401 0.401 0.798 Li
0.599 0.599 0.202 Li
0.000 0.000 0.000 Sm
```

- Formation enthalpy at 0 K: -0.50 eV per atom



The following is a DFT calculation (PBE) of a geometry-optimized ZrCuGe2 structure.

```
ZrCuGe2
1.0
3.877 0.000 0.000
0.000 4.151 0.000
0.000 0.000 4.151
Cu Ge Zr
1 2 1
direct
0.500 0.500 0.500 Cu
0.000 0.000 0.500 Ge
0.000 0.500 0.000 Ge
0.500 0.000 0.000 Zr
```

- Formation enthalpy at 0 K: -0.33 eV per atom



The following is a DFT calculation (PBE) of a geometry-optimized ZrGe3As structure.

```
ZrGe3As
1.0
5.194 0.000 0.000
0.000 5.194 0.000
0.000 0.000 5.194
Ge As Zr
3 1 1
direct
0.000 0.500 0.000 Ge
0.500 0.000 0.000 Ge
0.000 0.000 0.500 Ge
0.500 0.500 0.500 As
0.000 0.000 0.000 Zr
```

- Relative energy among the computed polymorphs: 9 meV/atom
- Formation enthalpy at 0 K: 0.76 eV per atom



The following is a DFT calculation (PBE) of a geometry-optimized AlPbS2 structure.

```
AlPbS2
1.0
15.766 0.000 0.846
0.000 3.650 0.000
-5.583 0.000 7.152
S Al Pb
8 4 4
direct
0.614 0.250 0.593 S
0.077 0.750 0.428 S
0.423 0.250 0.072 S
0.114 0.250 0.093 S
0.577 0.750 0.928 S
0.386 0.750 0.407 S
0.886 0.750 0.907 S
0.923 0.250 0.572 S
0.444 0.250 0.331 Al
0.556 0.750 0.669 Al
0.944 0.250 0.831 Al
0.056 0.750 0.169 Al
0.652 0.250 0.234 Pb
0.348 0.750 0.766 Pb
0.848 0.750 0.266 Pb
0.152 0.250 0.734 Pb
```

- E_form (uncorrected): -0.645 eV/atom



The following is a DFT calculation (PBE) of a geometry-optimized Y2ZnGa12 structure.

```
Y2ZnGa12
1.0
6.236 0.000 0.000
0.000 6.236 0.000
0.000 0.000 15.054
Ga Y Zn
24 4 2
direct
0.667 0.833 0.571 Ga
0.751 0.749 0.909 Ga
0.500 0.500 0.817 Ga
0.500 0.500 0.655 Ga
0.833 0.667 0.429 Ga
0.167 0.667 0.571 Ga
0.667 0.167 0.429 Ga
0.833 0.333 0.571 Ga
0.749 0.249 0.909 Ga
0.249 0.251 0.909 Ga
0.749 0.751 0.091 Ga
0.500 0.500 0.183 Ga
0.251 0.249 0.091 Ga
0.000 0.000 0.345 Ga
0.333 0.833 0.429 Ga
0.000 0.000 0.817 Ga
0.000 0.000 0.183 Ga
0.751 0.251 0.091 Ga
0.251 0.751 0.909 Ga
0.167 0.333 0.429 Ga
0.000 0.000 0.655 Ga
0.500 0.500 0.345 Ga
0.249 0.749 0.091 Ga
0.333 0.167 0.571 Ga
0.500 0.000 0.246 Y
0.500 0.000 0.754 Y
0.000 0.500 0.246 Y
0.000 0.500 0.754 Y
0.000 0.500 0.000 Zn
0.500 0.000 0.000 Zn
```

- Formation enthalpy at 0 K: -0.26 eV per atom



The following is a DFT calculation (PBE) of a geometry-optimized SrTbB12 structure.

```
SrTbB12
1.0
4.144 0.000 0.000
0.000 4.144 0.000
0.000 0.000 8.292
Sr B Tb
1 12 1
direct
0.000 0.000 0.500 Sr
0.500 0.799 0.247 B
0.500 0.500 0.099 B
0.500 0.500 0.398 B
0.500 0.201 0.247 B
0.201 0.500 0.247 B
0.500 0.799 0.753 B
0.500 0.500 0.901 B
0.201 0.500 0.753 B
0.799 0.500 0.247 B
0.799 0.500 0.753 B
0.500 0.500 0.602 B
0.500 0.201 0.753 B
0.000 0.000 0.000 Tb
```

- Formation enthalpy at 0 K: -0.44 eV per atom



The following is a DFT calculation (PBE) of a geometry-optimized CoTcBi2 structure.

```
CoTcBi2
1.0
-1.899 0.564 -5.775
-3.910 -4.613 0.835
-7.018 1.774 -0.746
Bi Co Tc
4 2 2
direct
0.608 0.125 0.250 Bi
0.875 0.858 0.750 Bi
0.375 0.392 0.750 Bi
0.142 0.625 0.250 Bi
0.500 0.500 0.000 Co
0.250 0.750 0.500 Co
0.000 0.000 0.000 Tc
0.750 0.250 0.500 Tc
```

- Relative energy among the computed polymorphs: 376 meV/atom
- Formation enthalpy at 0 K: 1.01 eV per atom



The following is a DFT calculation (PBE) of a geometry-optimized PaBe2Co structure.

```
PaBe2Co
1.0
-2.721 1.565 2.380
3.944 -2.770 1.964
3.392 5.168 0.479
Be Pa Co
4 2 2
direct
0.699 0.298 0.068 Be
0.699 0.298 0.432 Be
0.301 0.702 0.568 Be
0.301 0.702 0.932 Be
0.882 0.847 0.250 Pa
0.118 0.153 0.750 Pa
0.257 0.392 0.250 Co
0.743 0.608 0.750 Co
```

- Relative energy among the computed polymorphs: 0 meV/atom
- Formation enthalpy at 0 K: -0.24 eV per atom



The following is a DFT calculation (PBE) of a geometry-optimized Co2Tc2Ag structure.

```
Co2Tc2Ag
1.0
-5.396 4.153 -2.743
0.492 -3.581 -6.389
-1.756 -1.730 0.835
Tc Co Ag
4 4 2
direct
0.123 0.377 0.000 Tc
0.877 0.623 0.000 Tc
0.623 0.123 0.000 Tc
0.377 0.877 0.000 Tc
0.333 0.167 0.500 Co
0.167 0.667 0.500 Co
0.833 0.333 0.500 Co
0.667 0.833 0.500 Co
0.000 0.000 0.000 Ag
0.500 0.500 0.000 Ag
```

- Relative energy among the computed polymorphs: 60 meV/atom
- Formation enthalpy at 0 K: 0.33 eV per atom



no.,total magnetization (μB/f.u.)
1,12.9
2,0.0
3,0.0
4,0.0
5,0.0
6,1.3
7,0.0
8,1.8
9,0.0
10,0.0
11,6.9
12,0.9
13,0.0
14,2.5
15,0.0
16,0.0
17,0.0
18,0.0
19,0.0
20,0.0
21,0.1
22,0.0
23,0.0